Crystalline BaUB at its relaxed geometry, computed with GGA-PBE.

The structure in extended XYZ format:
```
3
Lattice="0.000 3.338 3.338 3.338 0.000 3.338 3.338 3.338 0.000" Properties=species:S:1:pos:R:3 pbc="T T T"
Ba 1.669 1.669 1.669
B 0.000 0.000 0.000
U 5.007 5.007 5.007
```

Computed properties:
SG = No. 216
calculated volume = 24.79 Å³/atom
E = -5.46 eV/atom
density = 8622 kg/m³

Crystalline BaB4W at its relaxed geometry, computed with GGA-PBE.

The structure in extended XYZ format:
```
6
Lattice="-1.568 2.888 3.959 1.568 -2.888 3.959 1.568 2.888 -3.959" Properties=species:S:1:pos:R:3 pbc="T T T"
B 0.000 2.003 1.838
B 1.568 0.885 2.121
B 0.000 3.773 1.838
B 1.568 -0.885 2.121
Ba 0.000 0.000 0.000
W 0.000 0.000 3.959
```

Computed properties:
SG = No. 71
calculated volume = 11.95 Å³/atom
E = -6.32 eV/atom
density = 8437 kg/m³

Crystalline BaB4W at its relaxed geometry, computed with GGA-PBE.

The structure in extended XYZ format:
```
6
Lattice="-1.410 1.850 -2.080 0.512 -3.003 -0.677 -7.341 -1.977 3.218" Properties=species:S:1:pos:R:3 pbc="T T T"
B -6.019 -2.972 1.437
B -1.580 -1.776 -0.509
B -6.660 -1.354 0.970
B -2.220 -0.158 -0.977
W 0.000 0.000 0.000
Ba -3.671 -0.988 1.609
```

Computed properties:
SG = No. 191
calculated volume = 11.61 Å³/atom
E = -6.95 eV/atom
density = 8689 kg/m³